GGA-PBE GaCoAsI2, relaxed; E_form (uncorrected) = 355.6 meV per atom; calculated density = 4.69 g cm⁻³
1.0
6.050 0.000 0.000
0.000 6.050 0.000
0.000 0.000 4.426
Ga Co As I
1 1 1 2
Direct
0.000 0.000 0.000
0.500 0.500 0.000
0.500 0.500 0.500
0.000 0.500 0.500
0.500 0.000 0.500

=====

GGA-PBE La2MgSbRu, relaxed; E_form (uncorrected) = -497.6 meV per atom; calculated density = 6.01 g cm⁻³
1.0
5.356 0.000 0.000
0.000 5.356 0.000
0.000 0.000 5.058
La Mg Sb Ru
2 1 1 1
Direct
0.000 0.500 0.000
0.500 0.000 0.000
0.000 0.000 0.500
0.500 0.500 0.500
0.000 0.000 0.000